A relaxed structure of NaFeO2. Source: the Alexandria database, functional GGA+U.

abc: 2.9565 2.9565 10.6759
angles: 90.00 90.00 120.00
Atoms (fractional coordinates):
Na  0.3333  0.6667  0.2500
Na  0.6667  0.3333  0.7500
Fe  0.0000  0.0000  0.0000
Fe  0.0000  0.0000  0.5000
O  0.3333  0.6667  0.5959
O  0.3333  0.6667  0.9041
O  0.6667  0.3333  0.0959
O  0.6667  0.3333  0.4041

Computed properties:
* M_tot: 1.00 μB/f.u.
* SG: No. 194
* crystal system: hexagonal
* raw total energy: -5.426 eV/atom
* theoretical density: 4555 kg/m³